[1]
Compound: BaSrAg
Source: the Alexandria database
Functional: PBE
Structure: relaxed

The space group is C2/m (No. 12) and the conventional cell measures 15.277, 4.072 and 8.189 Å, with angles of 90.00, 105.73 and 90.00 degrees. Symmetry generates all atoms from Ba at (0.132, 0.000, 0.068), Sr at (0.132, 0.000, 0.565) and Ag at (0.001, 0.500, 0.734).

The formation enthalpy at 0 K is -0.17 eV per atom. As for the density of states at the Fermi level: 3.3 states/eV/f.u.

---

[2]
Compound: Ba5SrAg6
Source: the Alexandria database
Functional: PBE
Structure: relaxed

The space group is P2/m (No. 10) and the conventional cell measures 5.780, 8.230 and 9.119 Å, with angles of 90.00, 108.36 and 90.00 degrees. Symmetry generates all atoms from Ba at (0.000, 0.000, 0.000), Ba at (0.333, 0.500, 0.666), Ba at (0.334, 0.000, 0.667), Sr at (0.000, 0.500, 0.000), Ag at (0.162, 0.253, 0.326) and Ag at (0.500, 0.261, 0.000).

The formation enthalpy at 0 K is -0.24 eV per atom. As for the density of states at the Fermi level: 10.6 states/eV/f.u.

---

[3]
Compound: Ba2SrAg2
Source: the Alexandria database
Functional: PBE
Structure: relaxed

The space group is P4/mbm (No. 127) and the conventional cell measures 8.937, 8.937 and 4.893 Å, with angles of 90.00, 90.00 and 90.00 degrees. Symmetry generates all atoms from Ba at (0.168, 0.332, 0.000), Sr at (0.000, 0.000, 0.500) and Ag at (0.122, 0.622, 0.500).

The formation enthalpy at 0 K is -0.24 eV per atom. As for the density of states at the Fermi level: 2.6 states/eV/f.u.

---

[4]
Compound: BaSrAg
Source: the Alexandria database
Functional: PBE
Structure: relaxed

The space group is C2/m (No. 12) and the conventional cell measures 14.489, 4.576 and 9.657 Å, with angles of 90.00, 126.15 and 90.00 degrees. Symmetry generates all atoms from Ba at (0.078, 0.000, 0.370), Sr at (0.178, 0.500, 0.083) and Ag at (0.121, 0.500, 0.679).

The formation enthalpy at 0 K is -0.19 eV per atom. As for the density of states at the Fermi level: 2.8 states/eV/f.u.

---

[5]
Compound: Ba3Sr3Ag4
Source: the Alexandria database
Functional: PBE
Structure: relaxed

The space group is Amm2 (No. 38) and the conventional cell measures 4.838, 12.561 and 12.532 Å, with angles of 90.00, 90.00 and 90.00 degrees. Symmetry generates all atoms from Ba at (0.000, 0.000, 0.000), Ba at (0.000, 0.168, 0.336), Sr at (0.000, 0.000, 0.666), Sr at (0.500, 0.248, 0.586), Ag at (0.500, 0.000, 0.214), Ag at (0.500, 0.000, 0.463) and Ag at (0.500, 0.119, 0.829).

The formation enthalpy at 0 K is -0.25 eV per atom. As for the density of states at the Fermi level: 7.0 states/eV/f.u.

---

[6]
Compound: Ba4SrAg
Source: the Alexandria database
Functional: PBE
Structure: relaxed

The space group is F-43m (No. 216) and the conventional cell measures 11.097, 11.097 and 11.097 Å, with angles of 90.00, 90.00 and 90.00 degrees. Symmetry generates all atoms from Ba at (0.125, 0.125, 0.125), Sr at (0.250, 0.250, 0.750) and Ag at (0.000, 0.000, 0.500).

The formation enthalpy at 0 K is 0.37 eV per atom. As for the density of states at the Fermi level: 11.4 states/eV/f.u.

---

[7]
Compound: BaSrTlAg
Source: the Alexandria database
Functional: PBE
Structure: relaxed

The space group is Amm2 (No. 38) and the conventional cell measures 5.094, 4.538 and 12.877 Å, with angles of 90.00, 90.00 and 90.00 degrees. Symmetry generates all atoms from Ba at (0.000, 0.000, 0.000), Sr at (0.500, 0.000, 0.716), Tl at (0.000, 0.000, 0.281) and Ag at (0.500, 0.000, 0.419).

The formation enthalpy at 0 K is -0.29 eV per atom. As for the density of states at the Fermi level: 4.0 states/eV/f.u.

---

[8]
Compound: Ba3Sr3Tl2Ag
Source: the Alexandria database
Functional: PBE
Structure: relaxed

The space group is P-62m (No. 189) and the conventional cell measures 9.8077, 9.8077 and 4.6009 Å, with angles of 90.00, 90.00 and 120.00 degrees. Symmetry generates all atoms from Ba at (0.0000, 0.2561, 0.0000), Sr at (0.0000, 0.5906, 0.5000), Tl at (0.3333, 0.6667, 0.0000) and Ag at (0.0000, 0.0000, 0.5000).

The formation enthalpy at 0 K is -0.22 eV per atom. As for the density of states at the Fermi level: 11.4 states/eV/f.u.

---

Number 1: energy -2.33 eV/atom. Number 2: energy -2.60 eV/atom. Number 3: energy -2.49 eV/atom. Number 4: energy -2.35 eV/atom. Number 5: energy -2.47 eV/atom. Number 6: energy -1.66 eV/atom. Number 7: energy -2.50 eV/atom. Number 8: energy -2.26 eV/atom.